# 1
This record from the Alexandria database describes crystalline LaPr2YTm2 at its relaxed geometry. The functional is PBE.

Unit cell a=7.1012 b=9.9394 c=5.7092 alpha=90.00 beta=90.00 gamma=90.00
Closest atoms and distances in Å follow each position.
Space group Pnnm (No. 58)
Asymmetric unit:
La (0.0000, 0.0000, 0.0000) (multiplicity 2)  2 Y 3.55, 6 Pr 3.75-3.76, 6 Tm 3.75-3.76
Pr (0.2452, 0.3337, 0.0000) (multiplicity 4)  5 Tm 3.30-3.58
Y (0.0000, 0.5000, 0.5000) (multiplicity 2)  2 La 3.55, 6 Pr 3.73-3.78, 6 Tm 3.75-3.76
Tm (0.2487, 0.1674, 0.5000) (multiplicity 4)  5 Pr 3.30-3.58

## Properties
- DFT total energy (eV/atom) = -4.920
- size of the total moment (μB per formula unit) = 0.00
- calculated formation energy (eV per atom) = 0.0627


# 2
This record from the Alexandria database describes crystalline BaSiNi3P at its relaxed geometry. The functional is PBE.

Unit cell a=6.1678 b=12.1167 c=5.7694 alpha=90.00 beta=90.00 gamma=90.00
Closest atoms and distances in Å follow each position.
Space group Cmcm (No. 63)
Asymmetric unit:
Ba (0.0000, 0.2444, 0.2500) (multiplicity 4)  4 Ni 2.89-3.09
Si (0.0000, 0.0497, 0.7500) (multiplicity 4)  5 Ni 2.24-2.36
Ni (0.0000, 0.2348, 0.7500) (multiplicity 4)  1 P 2.16, 1 Si 2.24
Ni (0.2138, 0.5000, 0.0000) (multiplicity 8)  2 P 2.22, 2 Si 2.36
P (0.0000, 0.4128, 0.7500) (multiplicity 4)  5 Ni 2.16-2.22

## Properties
- DFT total energy (eV/atom) = -5.463
- size of the total moment (μB per formula unit) = 0.00
- uncorrected formation energy (meV/atom) = -446